# 1
A plane-wave DFT calculation with PBE-GGA was carried out for La2Re after structural relaxation.

Output
Calculated formation energy in meV per atom: 1043
Energy above the most stable polymorph in this dataset in eV per atom: 0.000

Lattice parameters (Å, degrees): 8.482 8.482 8.482 60.00 60.00 60.00
Fractional positions:
La: 0.000 0.000 0.000
La: 0.000 0.000 0.500
La: 0.000 0.500 0.000
La: 0.500 0.000 0.000
Re: 0.125 0.125 0.125
Re: 0.875 0.875 0.875


# 2
A plane-wave DFT calculation with PBE-GGA was carried out for HfTcGe after structural relaxation.

Output
Energy above the most stable polymorph in this dataset in eV per atom: 0.096

Lattice parameters (Å, degrees): 12.475 3.441 7.008 90.00 90.00 90.00
Fractional positions:
Hf: 0.046 0.000 0.235
Hf: 0.250 0.000 0.661
Hf: 0.454 0.000 0.235
Hf: 0.546 0.000 0.765
Hf: 0.750 0.000 0.339
Hf: 0.954 0.000 0.765
Tc: 0.121 0.500 0.926
Tc: 0.250 0.500 0.311
Tc: 0.379 0.500 0.926
Tc: 0.621 0.500 0.074
Tc: 0.750 0.500 0.689
Tc: 0.879 0.500 0.074
Ge: 0.095 0.500 0.556
Ge: 0.250 0.000 0.054
Ge: 0.405 0.500 0.556
Ge: 0.595 0.500 0.444
Ge: 0.750 0.000 0.946
Ge: 0.905 0.500 0.444


# 3
A plane-wave DFT calculation with PBE-GGA was carried out for TaSnPO after structural relaxation.

Output
Energy above the most stable polymorph in this dataset in eV per atom: 0.561

Lattice parameters (Å, degrees): 3.697 3.697 9.939 90.00 90.00 90.00
Fractional positions:
Ta: 0.250 0.250 0.118
Ta: 0.750 0.750 0.882
Sn: 0.250 0.750 0.500
Sn: 0.750 0.250 0.500
P: 0.250 0.250 0.763
P: 0.750 0.750 0.237
O: 0.250 0.750 0.000
O: 0.750 0.250 0.000


# 4
A plane-wave DFT calculation with PBE-GGA was carried out for CsSmNiSe3 after structural relaxation.

Output
Energy above the most stable polymorph in this dataset in eV per atom: 0.064

Lattice parameters (Å, degrees): 11.711 4.376 13.048 90.00 90.00 90.00
Fractional positions:
Cs: 0.155 0.250 0.007
Cs: 0.345 0.750 0.507
Cs: 0.655 0.250 0.493
Cs: 0.845 0.750 0.993
Sm: 0.006 0.250 0.655
Sm: 0.494 0.750 0.155
Sm: 0.506 0.250 0.845
Sm: 0.994 0.750 0.345
Ni: 0.233 0.250 0.295
Ni: 0.267 0.750 0.795
Ni: 0.733 0.250 0.205
Ni: 0.767 0.750 0.705
Se: 0.064 0.750 0.795
Se: 0.118 0.250 0.451
Se: 0.216 0.750 0.229
Se: 0.284 0.250 0.729
Se: 0.382 0.750 0.951
Se: 0.436 0.250 0.295
Se: 0.564 0.750 0.705
Se: 0.618 0.250 0.049
Se: 0.716 0.750 0.271
Se: 0.784 0.250 0.771
Se: 0.882 0.750 0.549
Se: 0.936 0.250 0.205


# 5
A plane-wave DFT calculation with PBE-GGA was carried out for Li2TaNbSe4 after structural relaxation.

Output
Final energy in eV/atom: -6.0071

Lattice parameters (Å, degrees): 3.517 3.517 13.494 90.00 90.00 120.00
Fractional positions:
Li: 0.000 0.000 0.250
Li: 0.000 0.000 0.750
Ta: 0.000 0.000 0.000
Nb: 0.000 0.000 0.500
Se: 0.333 0.667 0.376
Se: 0.333 0.667 0.624
Se: 0.667 0.333 0.124
Se: 0.667 0.333 0.876


# 6
A plane-wave DFT calculation with PBE-GGA was carried out for SmGdNi2B2As2 after structural relaxation.

Output
Final energy in eV/atom: -6.0325

Lattice parameters (Å, degrees): 3.997 3.997 8.128 90.00 90.00 90.00
Fractional positions:
Sm: 0.000 0.000 0.000
Gd: 0.500 0.500 0.442
Ni: 0.000 0.500 0.720
Ni: 0.500 0.000 0.720
B: 0.000 0.000 0.637
B: 0.500 0.500 0.807
As: 0.000 0.000 0.378
As: 0.500 0.500 0.068


# 7
A plane-wave DFT calculation with PBE-GGA was carried out for MgCdSO after structural relaxation.

Output
Energy above the most stable polymorph in this dataset in eV per atom: 0.298

Lattice parameters (Å, degrees): 6.673 12.768 6.750 90.00 90.00 90.00
Fractional positions:
Mg: 0.070 0.216 0.155
Mg: 0.070 0.284 0.655
Mg: 0.430 0.716 0.155
Mg: 0.430 0.784 0.655
Mg: 0.570 0.216 0.345
Mg: 0.570 0.284 0.845
Mg: 0.930 0.716 0.345
Mg: 0.930 0.784 0.845
Cd: 0.238 0.071 0.530
Cd: 0.238 0.429 0.030
Cd: 0.262 0.571 0.530
Cd: 0.262 0.929 0.030
Cd: 0.738 0.071 0.970
Cd: 0.738 0.429 0.470
Cd: 0.762 0.571 0.970
Cd: 0.762 0.929 0.470
S: 0.016 0.024 0.240
S: 0.016 0.476 0.740
S: 0.484 0.524 0.240
S: 0.484 0.976 0.740
S: 0.516 0.024 0.260
S: 0.516 0.476 0.760
S: 0.984 0.524 0.260
S: 0.984 0.976 0.760
O: 0.238 0.242 0.413
O: 0.238 0.258 0.913
O: 0.262 0.742 0.413
O: 0.262 0.758 0.913
O: 0.738 0.242 0.087
O: 0.738 0.258 0.587
O: 0.762 0.742 0.087
O: 0.762 0.758 0.587


# 8
A plane-wave DFT calculation with PBE-GGA was carried out for NaZrTe3Au after structural relaxation.

Output
Energy above the most stable polymorph in this dataset in eV per atom: 0.079

Lattice parameters (Å, degrees): 12.841 4.190 12.616 90.00 90.00 90.00
Fractional positions:
Na: 0.191 0.250 0.032
Na: 0.309 0.750 0.532
Na: 0.691 0.250 0.468
Na: 0.809 0.750 0.968
Zr: 0.060 0.250 0.325
Zr: 0.440 0.750 0.825
Zr: 0.560 0.250 0.175
Zr: 0.940 0.750 0.675
Te: 0.033 0.750 0.159
Te: 0.081 0.250 0.576
Te: 0.225 0.750 0.849
Te: 0.275 0.250 0.349
Te: 0.419 0.750 0.076
Te: 0.467 0.250 0.659
Te: 0.533 0.750 0.341
Te: 0.581 0.250 0.924
Te: 0.725 0.750 0.651
Te: 0.775 0.250 0.151
Te: 0.919 0.750 0.424
Te: 0.967 0.250 0.841
Au: 0.240 0.750 0.203
Au: 0.260 0.250 0.703
Au: 0.740 0.750 0.297
Au: 0.760 0.250 0.797


# 9
A plane-wave DFT calculation with PBE-GGA was carried out for HoTc2 after structural relaxation.

Output
Calculated formation energy in meV per atom: 3487
Energy above the most stable polymorph in this dataset in eV per atom: 3.690

Lattice parameters (Å, degrees): 8.814 8.814 8.814 60.00 60.00 60.00
Fractional positions:
Ho: 0.125 0.125 0.125
Ho: 0.875 0.875 0.875
Tc: 0.000 0.000 0.000
Tc: 0.000 0.000 0.500
Tc: 0.000 0.500 0.000
Tc: 0.500 0.000 0.000


# 10
A plane-wave DFT calculation with PBE-GGA was carried out for Al8Co7 after structural relaxation.

Output
Energy above the most stable polymorph in this dataset in eV per atom: 0.000

Lattice parameters (Å, degrees): 8.737 8.737 4.830 90.00 90.00 90.00
Fractional positions:
Al: 0.043 0.363 0.000
Al: 0.137 0.543 0.500
Al: 0.174 0.826 0.249
Al: 0.174 0.826 0.751
Al: 0.326 0.326 0.251
Al: 0.326 0.326 0.749
Al: 0.363 0.043 0.000
Al: 0.457 0.863 0.500
Al: 0.543 0.137 0.500
Al: 0.637 0.957 0.000
Al: 0.674 0.674 0.251
Al: 0.674 0.674 0.749
Al: 0.826 0.174 0.249
Al: 0.826 0.174 0.751
Al: 0.863 0.457 0.500
Al: 0.957 0.637 0.000
Co: 0.000 0.000 0.500
Co: 0.070 0.264 0.500
Co: 0.096 0.096 0.000
Co: 0.236 0.570 0.000
Co: 0.264 0.070 0.500
Co: 0.404 0.596 0.500
Co: 0.430 0.764 0.000
Co: 0.500 0.500 0.000
Co: 0.570 0.236 0.000
Co: 0.596 0.404 0.500
Co: 0.736 0.930 0.500
Co: 0.764 0.430 0.000
Co: 0.904 0.904 0.000
Co: 0.930 0.736 0.500


# 11
A plane-wave DFT calculation with PBE-GGA was carried out for Gd3In3NiPdPt after structural relaxation.

Output
Final energy in eV/atom: -5.1272

Lattice parameters (Å, degrees): 7.644 7.644 3.892 90.00 90.00 120.00
Fractional positions:
Gd: 0.078 0.740 0.000
Gd: 0.260 0.338 0.000
Gd: 0.662 0.922 0.000
In: 0.421 0.089 0.500
In: 0.668 0.579 0.500
In: 0.911 0.332 0.500
Ni: 0.667 0.333 0.000
Pd: 0.000 0.000 0.500
Pt: 0.333 0.667 0.500


# 12
A plane-wave DFT calculation with PBE-GGA was carried out for LiTe2MoAuS after structural relaxation.

Output
Final energy in eV/atom: -4.4961

Lattice parameters (Å, degrees): 7.408 7.408 9.818 90.00 90.00 151.85
Fractional positions:
Li: 0.246 0.754 0.750
Li: 0.754 0.246 0.250
Te: 0.150 0.850 0.026
Te: 0.150 0.850 0.474
Te: 0.850 0.150 0.526
Te: 0.850 0.150 0.974
Mo: 0.500 0.500 0.000
Mo: 0.500 0.500 0.500
Au: 0.042 0.958 0.250
Au: 0.958 0.042 0.750
S: 0.419 0.581 0.250
S: 0.581 0.419 0.750